CaTiAs2Br at its PBEsol-relaxed geometry, computed with SCAN.

## Properties
**Formation energy (no corrections)**: 0.37 eV/atom
**Crystal system**: tetragonal

Cell lengths 5.221, 5.221, 5.214 Å; angles 90.00, 90.00, 90.00 degrees
Fractional coordinates of all 5 atoms:
Ca 0.000 0.000 0.000
Ti 0.500 0.500 0.500
As 0.000 0.500 0.000
As 0.500 0.000 0.000
Br 0.000 0.000 0.500